# 1
Compound: LaMnMo2
Source: the Alexandria database
Functional: PBE-GGA
Structure: optimized geometry

Cell lengths 4.238, 2.923, 6.438 Å; angles 77.97, 90.00, 90.00 degrees
Site moments in Bohr magnetons follow the coordinates.
Fractional positions:
Mn 0.500 0.766 0.814  2.96
La 0.000 0.484 0.500  -0.09
Mo 0.000 0.030 0.000  -0.28
Mo 0.500 0.220 0.186  0.01

- polymorph energy (0 for the lowest one) (meV/atom) = 159
- electronic total energy (eV/atom) = -8.468
- formation enthalpy at 0 K (meV per atom) = 472
- space-group type = Pm

# 2
Compound: CrReMo14
Source: the Alexandria database
Functional: PBE-GGA
Structure: optimized geometry

Cell lengths 6.297, 6.297, 6.295 Å; angles 90.00, 90.00, 90.00 degrees
Fractional positions:
Re 0.375 0.375 0.500
Mo 0.375 0.875 0.000
Mo 0.627 0.627 0.748
Mo 0.875 0.375 0.000
Mo 0.627 0.627 0.252
Mo 0.375 0.375 0.000
Mo 0.123 0.123 0.252
Mo 0.627 0.123 0.252
Mo 0.123 0.123 0.748
Mo 0.375 0.875 0.500
Mo 0.875 0.375 0.500
Mo 0.123 0.627 0.748
Mo 0.123 0.627 0.252
Mo 0.875 0.875 0.000
Mo 0.627 0.123 0.748
Cr 0.875 0.875 0.500

- electronic total energy (eV/atom) = -10.841
- formation enthalpy at 0 K (meV per atom) = 16
- space-group type = P4/mmm

# 3
Compound: B3PbO
Source: the Alexandria database
Functional: PBE-GGA
Structure: optimized geometry

Cell lengths 3.904, 3.904, 3.904 Å; angles 90.00, 90.00, 90.00 degrees
Fractional positions:
B 0.500 0.000 0.000
B 0.000 0.000 0.500
B 0.000 0.500 0.000
O 0.000 0.000 0.000
Pb 0.500 0.500 0.500

- polymorph energy (0 for the lowest one) (meV/atom) = 0
- electronic total energy (eV/atom) = -3.957
- formation energy from raw total energies (eV/atom) = 1.782
- space-group type = Pm-3m

# 4
Compound: Eu3AsPb
Source: the Alexandria database
Functional: PBE-GGA
Structure: optimized geometry

Cell lengths 5.730, 5.730, 5.730 Å; angles 90.00, 90.00, 90.00 degrees
Site moments in Bohr magnetons follow the coordinates.
Fractional positions:
Pb 0.500 0.500 0.500  -0.06
Eu 0.500 0.000 0.000  6.79
Eu 0.000 0.000 0.500  6.79
Eu 0.000 0.500 0.000  6.79
As 0.000 0.000 0.000  -0.10

- electronic total energy (eV/atom) = -8.472
- formation enthalpy at 0 K (meV per atom) = -636
- space-group type = Pm-3m